No. 1
## NaCu3Br (PBE-GGA)

Data for a geometry-optimized NaCu3Br structure.

abc: 4.869 4.869 4.869
angles: 90.00 90.00 90.00
Positions (direct):
1 Na 0.000 0.000 0.000
2 Cu 0.000 0.500 0.500
3 Cu 0.500 0.000 0.500
4 Cu 0.500 0.500 0.000
5 Br 0.500 0.500 0.500

Calculated values
Polymorph energy (0 for the lowest one)   0.000 eV/atom
Space-group type   Pm-3m


No. 2
## Al3Cr2 (PBE-GGA)

Data for a geometry-optimized Al3Cr2 structure.

abc: 4.234 4.234 5.202
angles: 90.00 90.00 120.00
Positions (direct):
1 Al 0.000 0.000 0.000
2 Al 0.333 0.667 0.361
3 Al 0.667 0.333 0.639
4 Cr 0.333 0.667 0.860
5 Cr 0.667 0.333 0.140

Calculated values
Formation enthalpy at 0 K   0.11 eV/atom
Space-group type   P-3m1


No. 3
## Tl3Pd2 (PBE-GGA)

Data for a geometry-optimized Tl3Pd2 structure.

abc: 6.864 6.864 7.320
angles: 116.01 116.01 54.89
Positions (direct):
1 Tl 0.088 0.912 0.750
2 Tl 0.176 0.420 0.235
3 Tl 0.420 0.176 0.735
4 Tl 0.580 0.824 0.265
5 Tl 0.824 0.580 0.765
6 Tl 0.912 0.088 0.250
7 Pd 0.245 0.632 0.020
8 Pd 0.368 0.755 0.480
9 Pd 0.632 0.245 0.520
10 Pd 0.755 0.368 0.980

Calculated values
Formation enthalpy at 0 K   -0.10 eV/atom
Space-group type   C2/c


No. 4
## Nd3TlPt (PBE-GGA)

Data for a geometry-optimized Nd3TlPt structure.

abc: 9.157 9.157 4.122
angles: 90.00 90.00 110.56
Positions (direct):
1 Nd 0.173 0.827 0.000
2 Nd 0.182 0.420 0.500
3 Nd 0.420 0.182 0.500
4 Nd 0.580 0.818 0.500
5 Nd 0.818 0.580 0.500
6 Nd 0.827 0.173 0.000
7 Tl 0.000 0.000 0.500
8 Tl 0.500 0.500 0.000
9 Pt 0.000 0.500 0.000
10 Pt 0.500 0.000 0.000

Calculated values
Formation enthalpy at 0 K   -0.52 eV/atom
Polymorph energy (0 for the lowest one)   0.000 eV/atom
Space-group type   Cmmm


No. 5
## AlCr2Mo (PBE-GGA)

Data for a geometry-optimized AlCr2Mo structure.

abc: 4.891 4.891 4.891
angles: 143.26 128.50 64.93
Positions (direct):
1 Al 0.000 0.000 0.000
2 Cr 0.261 0.761 0.500
3 Cr 0.739 0.239 0.500
4 Mo 0.500 0.500 0.000

Calculated values
Formation enthalpy at 0 K   0.01 eV/atom
Space-group type   Immm


No. 6
## ZrSc2Pa (PBE-GGA)

Data for a geometry-optimized ZrSc2Pa structure.

abc: 5.560 5.560 11.506
angles: 99.18 99.18 33.58
Positions (direct):
1 Zr 0.119 0.119 0.194
2 Zr 0.881 0.881 0.806
3 Sc 0.130 0.130 0.695
4 Sc 0.377 0.377 0.564
5 Sc 0.623 0.623 0.436
6 Sc 0.870 0.870 0.305
7 Pa 0.372 0.372 0.056
8 Pa 0.628 0.628 0.944

Calculated values
Formation enthalpy at 0 K   0.05 eV/atom
Polymorph energy (0 for the lowest one)   0.012 eV/atom
Space-group type   C2/m


No. 7
## Nd2Ho5Mg (PBE-GGA)

Data for a geometry-optimized Nd2Ho5Mg structure.

abc: 7.078 7.078 7.078
angles: 120.60 120.60 88.96
Positions (direct):
1 Nd 0.000 0.500 0.500
2 Nd 0.500 0.000 0.500
3 Ho 0.000 0.000 0.000
4 Ho 0.000 0.000 0.500
5 Ho 0.000 0.500 0.000
6 Ho 0.500 0.000 0.000
7 Ho 0.500 0.500 0.500
8 Mg 0.500 0.500 0.000

Calculated values
Formation enthalpy at 0 K   0.02 eV/atom
Polymorph energy (0 for the lowest one)   0.000 eV/atom
Space-group type   I4/mmm


No. 8
## SrInP2S (PBE-GGA)

Data for a geometry-optimized SrInP2S structure.

abc: 5.743 5.743 5.555
angles: 90.00 90.00 90.00
Positions (direct):
1 Sr 0.000 0.000 0.000
2 In 0.500 0.500 0.500
3 P 0.000 0.500 0.000
4 P 0.500 0.000 0.000
5 S 0.000 0.000 0.500

Calculated values
Polymorph energy (0 for the lowest one)   0.720 eV/atom
Space-group type   P4/mmm


No. 9
## K2Ba2Ca (PBE-GGA)

Data for a geometry-optimized K2Ba2Ca structure.

abc: 11.573 11.573 4.795
angles: 90.00 90.00 90.00
Positions (direct):
1 K 0.167 0.333 0.000
2 K 0.333 0.833 0.000
3 K 0.667 0.167 0.000
4 K 0.833 0.667 0.000
5 Ba 0.134 0.634 0.500
6 Ba 0.366 0.134 0.500
7 Ba 0.634 0.866 0.500
8 Ba 0.866 0.366 0.500
9 Ca 0.000 0.000 0.500
10 Ca 0.500 0.500 0.500

Calculated values
Formation enthalpy at 0 K   0.29 eV/atom
Polymorph energy (0 for the lowest one)   0.068 eV/atom
Space-group type   P4/mbm


No. 10
## Ag5Hg2Au5 (PBE-GGA)

Data for a geometry-optimized Ag5Hg2Au5 structure.

abc: 6.584 6.584 9.500
angles: 115.20 115.20 37.33
Positions (direct):
1 Ag 0.000 0.000 0.000
2 Ag 0.086 0.086 0.750
3 Ag 0.166 0.166 0.502
4 Ag 0.834 0.834 0.498
5 Ag 0.914 0.914 0.250
6 Hg 0.417 0.417 0.750
7 Hg 0.583 0.583 0.250
8 Au 0.252 0.252 0.252
9 Au 0.332 0.332 0.003
10 Au 0.500 0.500 0.500
11 Au 0.668 0.668 0.997
12 Au 0.748 0.748 0.748

Calculated values
Formation enthalpy at 0 K   -0.01 eV/atom
Polymorph energy (0 for the lowest one)   0.000 eV/atom
Space-group type   C2/m


No. 11
## BaGaO2 (PBE-GGA)

Data for a geometry-optimized BaGaO2 structure.

abc: 5.700 5.700 5.633
angles: 111.09 111.09 98.81
Positions (direct):
1 Ba 0.148 0.852 0.750
2 Ba 0.852 0.148 0.250
3 Ga 0.434 0.566 0.250
4 Ga 0.566 0.434 0.750
5 O 0.242 0.366 0.788
6 O 0.366 0.242 0.288
7 O 0.634 0.758 0.712
8 O 0.758 0.634 0.212

Calculated values
Uncorrected energy   -5.548 eV/atom
Space-group type   C2/c


No. 12
## PaRuPt (PBE-GGA)

Data for a geometry-optimized PaRuPt structure.

abc: 4.390 4.390 3.616
angles: 90.00 90.00 120.00
Positions (direct):
1 Pa 0.000 0.000 0.000
2 Ru 0.667 0.333 0.500
3 Pt 0.333 0.667 0.500

Calculated values
Formation enthalpy at 0 K   -0.42 eV/atom
Polymorph energy (0 for the lowest one)   0.327 eV/atom
Space-group type   P-6m2


no.,calculated density (g cm⁻³)
1,4.2
2,3.8
3,11.2
4,8.5
5,7.0
6,7.1
7,7.6
8,2.7
9,2.0
10,14.3
11,5.3
12,14.5